w) ## CdReCl (PBE)

Data for crystalline CdReCl at its relaxed geometry.

Results
Its space group is Imm2, No. 44. For the density of states at the Fermi level, the calculation gives 2.0 states/eV/f.u.

Cell lengths 5.702, 5.702, 5.702 Å; angles 151.42, 141.25, 48.85 degrees
Fractional positions:
Cd (0.000, 0.000, 0.000)
Re (0.298, 0.298, 0.000)
Cl (0.718, 0.718, 0.000)



x) ## CdReCl (PBE)

Data for crystalline CdReCl at its relaxed geometry.

Results
Its space group is P3m1, No. 156. For the density of states at the Fermi level, the calculation gives 1.1 states/eV/f.u.

Cell lengths 2.929, 2.929, 8.065 Å; angles 90.00, 90.00, 120.00 degrees
Fractional positions:
Cd (0.000, 0.000, 0.000)
Re (0.333, 0.667, 0.695)
Cl (0.667, 0.333, 0.470)



y) ## CdReCl (PBE)

Data for crystalline CdReCl at its relaxed geometry.

Results
Its space group is I4mm, No. 107. For the density of states at the Fermi level, the calculation gives 0.9 states/eV/f.u.

Cell lengths 7.539, 7.539, 7.539 Å; angles 157.64, 157.64, 31.83 degrees
Fractional positions:
Cd (0.000, 0.000, 0.000)
Re (0.644, 0.644, 0.000)
Cl (0.249, 0.249, 0.000)



It is w) that is the least stable of them.



w) ## CdRe3Cl (PBE)

Data for crystalline CdRe3Cl at its relaxed geometry.

Results
Its space group is Pm-3m, No. 221. For the density of states at the Fermi level, the calculation gives 6.0 states/eV/f.u.

Cell lengths 4.400, 4.400, 4.400 Å; angles 90.00, 90.00, 90.00 degrees
Fractional positions:
Cd (0.000, 0.000, 0.000)
Re (0.000, 0.500, 0.500)
Re (0.500, 0.000, 0.500)
Re (0.500, 0.500, 0.000)
Cl (0.500, 0.500, 0.500)



x) ## CdRe3Cl (PBE)

Data for crystalline CdRe3Cl at its relaxed geometry.

Results
Its space group is Pm-3m, No. 221. For the density of states at the Fermi level, the calculation gives 5.1 states/eV/f.u.

Cell lengths 5.206, 5.206, 5.206 Å; angles 90.00, 90.00, 90.00 degrees
Fractional positions:
Cd (0.000, 0.000, 0.000)
Re (0.000, 0.000, 0.500)
Re (0.000, 0.500, 0.000)
Re (0.500, 0.000, 0.000)
Cl (0.500, 0.500, 0.500)



It is x) that is the least stable of them.



w) ## Cd2ReCl (PBE)

Data for crystalline Cd2ReCl at its relaxed geometry.

Results
Its space group is Cmmm, No. 65. For the density of states at the Fermi level, the calculation gives 1.0 states/eV/f.u.

Cell lengths 3.008, 3.008, 8.818 Å; angles 90.00, 90.00, 107.41 degrees
Fractional positions:
Cd (0.000, 0.000, 0.244)
Cd (0.000, 0.000, 0.756)
Re (0.500, 0.500, 0.000)
Cl (0.500, 0.500, 0.500)



x) ## Cd2ReCl (PBE)

Data for crystalline Cd2ReCl at its relaxed geometry.

Results
Its space group is Fm-3m, No. 225. For the density of states at the Fermi level, the calculation gives 3.3 states/eV/f.u.

Cell lengths 4.945, 4.945, 4.945 Å; angles 60.00, 60.00, 60.00 degrees
Fractional positions:
Cd (0.250, 0.250, 0.250)
Cd (0.750, 0.750, 0.750)
Re (0.000, 0.000, 0.000)
Cl (0.500, 0.500, 0.500)



It is x) that is the least stable of them.



w) ## Cd2ReCl (PBE)

Data for crystalline Cd2ReCl at its relaxed geometry.

Results
Its space group is I-42d, No. 122. For the density of states at the Fermi level, the calculation gives 2.7 states/eV/f.u.

Cell lengths 6.228, 6.228, 6.228 Å; angles 102.07, 102.07, 125.57 degrees
Fractional positions:
Cd (0.117, 0.125, 0.492)
Cd (0.375, 0.883, 0.008)
Cd (0.633, 0.625, 0.508)
Cd (0.875, 0.367, 0.992)
Re (0.000, 0.000, 0.000)
Re (0.750, 0.250, 0.500)
Cl (0.250, 0.750, 0.500)
Cl (0.500, 0.500, 0.000)



x) ## Cd2ReCl (PBE)

Data for crystalline Cd2ReCl at its relaxed geometry.

Results
Its space group is Pmm2, No. 25. For the density of states at the Fermi level, the calculation gives 3.6 states/eV/f.u.

Cell lengths 2.945, 4.869, 5.264 Å; angles 90.00, 90.00, 90.00 degrees
Fractional positions:
Cd (0.000, 0.000, 0.000)
Cd (0.000, 0.500, 0.355)
Re (0.500, 0.000, 0.499)
Cl (0.500, 0.500, 0.822)



It is w) that is the least stable of them.